[1]
## AgHIN2 (PBE)

Data for a geometry-optimized AgHIN2 structure.

For the magnetization, the calculation gives 3.8 μB/f.u. The calculation puts the calculated volume at 112.5 Å³/f.u. The value obtained for the relative energy among the computed polymorphs is 0.0 meV/atom. Its space group is P4/mmm.

a = 4.0445 Å, b = 4.0445 Å, c = 6.8792 Å
α = 90.00°, β = 90.00°, γ = 90.00°
Sites, in units of the cell vectors:
1 Ag 0.0000 0.0000 0.0000
2 H 0.5000 0.5000 0.5000
3 I 0.0000 0.0000 0.5000
4 N 0.0000 0.5000 0.0000
5 N 0.5000 0.0000 0.0000


[2]
## AcSmYZn (PBE)

Data for a geometry-optimized AcSmYZn structure.

For the magnetization, the calculation gives 0.0 μB/f.u. The calculation puts the calculated volume at 123.6 Å³/f.u. The value obtained for the relative energy among the computed polymorphs is 0.0 meV/atom. Its space group is P4mm. As for the formation energy: -0.130 eV/atom.

a = 3.6989 Å, b = 3.6989 Å, c = 9.0313 Å
α = 90.00°, β = 90.00°, γ = 90.00°
Sites, in units of the cell vectors:
1 Ac 0.0000 0.0000 0.0000
2 Sm 0.5000 0.5000 0.3086
3 Y 0.5000 0.5000 0.6952
4 Zn 0.0000 0.0000 0.5088